Record 1
Crystalline MnRu at its relaxed geometry. Source: Alexandria, functional PBE.

Geometry as CIF:
```
data_MnRu
_chemical_formula_sum 'Mn3 Ru3'
_space_group_name_H-M_alt 'P 1'
_space_group_IT_number 1
_space_group_name_Hall 'P 1'
_cell_length_a 2.659
_cell_length_b 4.915
_cell_length_c 6.215
_cell_angle_alpha 76.06
_cell_angle_beta 90.00
_cell_angle_gamma 74.31
loop_
_atom_site_label
_atom_site_type_symbol
_atom_site_fract_x
_atom_site_fract_y
_atom_site_fract_z
Mn1 Mn 0.001 0.997 0.000
Mn2 Mn 0.667 0.665 0.331
Mn3 Mn 0.608 0.784 0.726
Ru1 Ru 0.952 0.096 0.388
Ru2 Ru 0.330 0.340 0.666
Ru3 Ru 0.274 0.451 0.056
```

Output
DFT formation energy   0.06 eV per formula unit
M_tot   0.2 μB/f.u.
Energy   -0.6758 Ry/atom
SG   Cm
N(E_F)   6.92 states/eV/cell

Record 2
Crystalline Mn3Ru at its relaxed geometry. Source: Alexandria, functional PBE.

Geometry as CIF:
```
data_Mn3Ru
_chemical_formula_sum 'Mn3 Ru1'
_space_group_name_H-M_alt 'P 1'
_space_group_IT_number 1
_space_group_name_Hall 'P 1'
_cell_length_a 4.452
_cell_length_b 4.452
_cell_length_c 2.629
_cell_angle_alpha 90.00
_cell_angle_beta 90.00
_cell_angle_gamma 108.22
loop_
_atom_site_label
_atom_site_type_symbol
_atom_site_fract_x
_atom_site_fract_y
_atom_site_fract_z
Mn1 Mn 0.000 0.500 0.500
Mn2 Mn 0.500 0.000 0.500
Mn3 Mn 0.000 0.000 0.000
Ru1 Ru 0.500 0.500 0.000
```

Output
DFT formation energy   0.14 eV per formula unit
M_tot   1.0 μB/f.u.
Energy   -0.6733 Ry/atom
SG   Cmmm
N(E_F)   4.28 states/eV/cell

Record 3
Crystalline Mn2Ru at its relaxed geometry. Source: Alexandria, functional PBE.

Geometry as CIF:
```
data_Mn2Ru
_chemical_formula_sum 'Mn8 Ru4'
_space_group_name_H-M_alt 'P 1'
_space_group_IT_number 1
_space_group_name_Hall 'P 1'
_cell_length_a 2.615
_cell_length_b 3.932
_cell_length_c 14.765
_cell_angle_alpha 90.00
_cell_angle_beta 90.00
_cell_angle_gamma 90.00
loop_
_atom_site_label
_atom_site_type_symbol
_atom_site_fract_x
_atom_site_fract_y
_atom_site_fract_z
Mn1 Mn 0.500 0.750 0.690
Mn2 Mn 0.500 0.250 0.467
Mn3 Mn 0.500 0.250 0.310
Mn4 Mn 0.000 0.750 0.967
Mn5 Mn 0.000 0.250 0.033
Mn6 Mn 0.000 0.250 0.190
Mn7 Mn 0.000 0.750 0.810
Mn8 Mn 0.500 0.750 0.533
Ru1 Ru 0.500 0.750 0.121
Ru2 Ru 0.500 0.250 0.879
Ru3 Ru 0.000 0.250 0.621
Ru4 Ru 0.000 0.750 0.379
```

Output
DFT formation energy   0.97 eV per formula unit
M_tot   0.0 μB/f.u.
Energy   -0.6527 Ry/atom
SG   Imma
N(E_F)   16.97 states/eV/cell

Record 4
Crystalline Mn3Ru at its relaxed geometry. Source: Alexandria, functional PBE.

Geometry as CIF:
```
data_Mn3Ru
_chemical_formula_sum 'Mn3 Ru1'
_space_group_name_H-M_alt 'P 1'
_space_group_IT_number 1
_space_group_name_Hall 'P 1'
_cell_length_a 2.602
_cell_length_b 2.602
_cell_length_c 7.167
_cell_angle_alpha 90.00
_cell_angle_beta 90.00
_cell_angle_gamma 90.00
loop_
_atom_site_label
_atom_site_type_symbol
_atom_site_fract_x
_atom_site_fract_y
_atom_site_fract_z
Mn1 Mn 0.000 0.000 0.991
Mn2 Mn 0.500 0.500 0.750
Mn3 Mn 0.000 0.000 0.509
Ru1 Ru 0.500 0.500 0.250
```

Output
DFT formation energy   0.28 eV per formula unit
M_tot   1.0 μB/f.u.
Energy   -0.6708 Ry/atom
SG   P4/mmm
N(E_F)   4.47 states/eV/cell

Record 5
Crystalline MnRu at its relaxed geometry. Source: Alexandria, functional PBE.

Geometry as CIF:
```
data_MnRu
_chemical_formula_sum 'Mn4 Ru4'
_space_group_name_H-M_alt 'P 1'
_space_group_IT_number 1
_space_group_name_Hall 'P 1'
_cell_length_a 4.273
_cell_length_b 4.273
_cell_length_c 7.248
_cell_angle_alpha 90.00
_cell_angle_beta 90.00
_cell_angle_gamma 120.00
loop_
_atom_site_label
_atom_site_type_symbol
_atom_site_fract_x
_atom_site_fract_y
_atom_site_fract_z
Ru1 Ru 0.000 0.000 0.250
Ru2 Ru 0.000 0.000 0.750
Ru3 Ru 0.667 0.333 0.250
Ru4 Ru 0.333 0.667 0.750
Mn1 Mn 0.667 0.333 0.581
Mn2 Mn 0.667 0.333 0.919
Mn3 Mn 0.333 0.667 0.081
Mn4 Mn 0.333 0.667 0.419
```

Output
DFT formation energy   0.99 eV per formula unit
M_tot   2.1 μB/f.u.
Energy   -0.6414 Ry/atom
SG   P6_3/mmc
N(E_F)   9.28 states/eV/cell

Record 6
Crystalline MnRuS at its relaxed geometry. Source: Alexandria, functional PBE.

Geometry as CIF:
```
data_MnRuS
_chemical_formula_sum 'Mn1 Ru1 S1'
_space_group_name_H-M_alt 'P 1'
_space_group_IT_number 1
_space_group_name_Hall 'P 1'
_cell_length_a 2.822
_cell_length_b 2.822
_cell_length_c 5.760
_cell_angle_alpha 90.00
_cell_angle_beta 90.00
_cell_angle_gamma 120.00
loop_
_atom_site_label
_atom_site_type_symbol
_atom_site_fract_x
_atom_site_fract_y
_atom_site_fract_z
S1 S 0.667 0.333 0.798
Mn1 Mn 0.333 0.667 0.545
Ru1 Ru 0.667 0.333 0.202
```

Output
Polymorph energy (0 for the lowest one)   29.2 meV/atom
M_tot   0.4 μB/f.u.
Energy   -0.5579 Ry/atom
SG   P3m1
Raw formation energy   -0.07 eV per atom
N(E_F)   2.97 states/eV/cell

Record 7
Crystalline MnRuS at its relaxed geometry. Source: Alexandria, functional PBE.

Geometry as CIF:
```
data_MnRuS
_chemical_formula_sum 'Mn1 Ru1 S1'
_space_group_name_H-M_alt 'P 1'
_space_group_IT_number 1
_space_group_name_Hall 'P 1'
_cell_length_a 2.831
_cell_length_b 2.826
_cell_length_c 5.100
_cell_angle_alpha 90.00
_cell_angle_beta 90.00
_cell_angle_gamma 90.00
loop_
_atom_site_label
_atom_site_type_symbol
_atom_site_fract_x
_atom_site_fract_y
_atom_site_fract_z
S1 S 0.500 0.500 0.513
Ru1 Ru 0.000 0.500 0.151
Mn1 Mn 0.500 0.000 0.839
```

Output
Polymorph energy (0 for the lowest one)   108.6 meV/atom
M_tot   0.0 μB/f.u.
Energy   -0.5521 Ry/atom
SG   Pmm2
Raw formation energy   0.01 eV per atom
N(E_F)   2.54 states/eV/cell

Record 8
Crystalline MnRuS at its relaxed geometry. Source: Alexandria, functional PBE.

Geometry as CIF:
```
data_MnRuS
_chemical_formula_sum 'Mn3 Ru3 S3'
_space_group_name_H-M_alt 'P 1'
_space_group_IT_number 1
_space_group_name_Hall 'P 1'
_cell_length_a 3.085
_cell_length_b 3.085
_cell_length_c 14.979
_cell_angle_alpha 90.00
_cell_angle_beta 90.00
_cell_angle_gamma 120.00
loop_
_atom_site_label
_atom_site_type_symbol
_atom_site_fract_x
_atom_site_fract_y
_atom_site_fract_z
S1 S 0.333 0.667 0.053
S2 S 0.667 0.333 0.720
S3 S 0.000 0.000 0.386
Ru1 Ru 0.000 0.000 0.951
Ru2 Ru 0.333 0.667 0.618
Ru3 Ru 0.667 0.333 0.285
Mn1 Mn 0.000 0.000 0.147
Mn2 Mn 0.333 0.667 0.814
Mn3 Mn 0.667 0.333 0.481
```

Output
Polymorph energy (0 for the lowest one)   46.9 meV/atom
M_tot   2.6 μB/f.u.
Energy   -0.5566 Ry/atom
SG   R3m
Raw formation energy   -0.05 eV per atom
N(E_F)   9.00 states/eV/cell

Record 9
Crystalline MnRuS2 at its relaxed geometry. Source: Alexandria, functional PBE.

Geometry as CIF:
```
data_MnRuS2
_chemical_formula_sum 'Mn1 Ru1 S2'
_space_group_name_H-M_alt 'P 1'
_space_group_IT_number 1
_space_group_name_Hall 'P 1'
_cell_length_a 7.608
_cell_length_b 7.608
_cell_length_c 7.608
_cell_angle_alpha 22.84
_cell_angle_beta 22.84
_cell_angle_gamma 22.84
loop_
_atom_site_label
_atom_site_type_symbol
_atom_site_fract_x
_atom_site_fract_y
_atom_site_fract_z
S1 S 0.899 0.899 0.899
S2 S 0.101 0.101 0.101
Mn1 Mn 0.500 0.500 0.500
Ru1 Ru 0.000 0.000 0.000
```

Output
Polymorph energy (0 for the lowest one)   248.9 meV/atom
M_tot   1.5 μB/f.u.
Energy   -0.5026 Ry/atom
SG   R-3m
Raw formation energy   -0.16 eV per atom
N(E_F)   2.59 states/eV/cell

Record 10
Crystalline MnRuS at its relaxed geometry. Source: Alexandria, functional PBE.

Geometry as CIF:
```
data_MnRuS
_chemical_formula_sum 'Mn3 Ru3 S3'
_space_group_name_H-M_alt 'P 1'
_space_group_IT_number 1
_space_group_name_Hall 'P 1'
_cell_length_a 2.830
_cell_length_b 2.830
_cell_length_c 17.322
_cell_angle_alpha 90.00
_cell_angle_beta 90.00
_cell_angle_gamma 120.00
loop_
_atom_site_label
_atom_site_type_symbol
_atom_site_fract_x
_atom_site_fract_y
_atom_site_fract_z
S1 S 0.333 0.667 0.733
S2 S 0.667 0.333 0.400
S3 S 0.000 0.000 0.066
Ru1 Ru 0.333 0.667 0.601
Ru2 Ru 0.667 0.333 0.268
Ru3 Ru 0.000 0.000 0.935
Mn1 Mn 0.667 0.333 0.817
Mn2 Mn 0.333 0.667 0.151
Mn3 Mn 0.000 0.000 0.484
```

Output
Polymorph energy (0 for the lowest one)   103.5 meV/atom
M_tot   0.9 μB/f.u.
Energy   -0.5524 Ry/atom
SG   R3m
Raw formation energy   0.01 eV per atom
N(E_F)   10.63 states/eV/cell

Record 11
Crystalline MnRuS at its relaxed geometry. Source: Alexandria, functional PBE.

Geometry as CIF:
```
data_MnRuS
_chemical_formula_sum 'Mn2 Ru2 S2'
_space_group_name_H-M_alt 'P 1'
_space_group_IT_number 1
_space_group_name_Hall 'P 1'
_cell_length_a 4.292
_cell_length_b 2.860
_cell_length_c 7.170
_cell_angle_alpha 90.00
_cell_angle_beta 112.82
_cell_angle_gamma 90.00
loop_
_atom_site_label
_atom_site_type_symbol
_atom_site_fract_x
_atom_site_fract_y
_atom_site_fract_z
Mn1 Mn 0.599 0.000 0.999
Mn2 Mn 0.599 0.500 0.499
S1 S 0.767 0.500 0.251
S2 S 0.767 0.000 0.751
Ru1 Ru 0.179 0.500 0.127
Ru2 Ru 0.179 0.000 0.627
```

Output
Polymorph energy (0 for the lowest one)   218.8 meV/atom
M_tot   0.0 μB/f.u.
Energy   -0.5440 Ry/atom
SG   Cm
Raw formation energy   0.12 eV per atom
N(E_F)   6.65 states/eV/cell

Record 12
Crystalline MnRuS at its relaxed geometry. Source: Alexandria, functional PBE.

Geometry as CIF:
```
data_MnRuS
_chemical_formula_sum 'Mn2 Ru2 S2'
_space_group_name_H-M_alt 'P 1'
_space_group_IT_number 1
_space_group_name_Hall 'P 1'
_cell_length_a 2.997
_cell_length_b 4.552
_cell_length_c 6.242
_cell_angle_alpha 90.00
_cell_angle_beta 90.00
_cell_angle_gamma 90.00
loop_
_atom_site_label
_atom_site_type_symbol
_atom_site_fract_x
_atom_site_fract_y
_atom_site_fract_z
Mn1 Mn 0.500 0.000 0.705
Mn2 Mn 0.000 0.500 0.295
Ru1 Ru 0.500 0.500 0.956
Ru2 Ru 0.000 0.000 0.044
S1 S 0.000 0.000 0.409
S2 S 0.500 0.500 0.591
```

Output
Polymorph energy (0 for the lowest one)   54.4 meV/atom
M_tot   2.6 μB/f.u.
Energy   -0.5561 Ry/atom
SG   Pmmn
Raw formation energy   -0.04 eV per atom
N(E_F)   4.59 states/eV/cell

Record 13
Crystalline MnRuS at its relaxed geometry. Source: Alexandria, functional PBE.

Geometry as CIF:
```
data_MnRuS
_chemical_formula_sum 'Mn1 Ru1 S1'
_space_group_name_H-M_alt 'P 1'
_space_group_IT_number 1
_space_group_name_Hall 'P 1'
_cell_length_a 3.842
_cell_length_b 3.842
_cell_length_c 2.890
_cell_angle_alpha 90.00
_cell_angle_beta 90.00
_cell_angle_gamma 120.00
loop_
_atom_site_label
_atom_site_type_symbol
_atom_site_fract_x
_atom_site_fract_y
_atom_site_fract_z
Mn1 Mn 0.333 0.667 0.000
Ru1 Ru 0.000 0.000 0.500
S1 S 0.667 0.333 0.000
```

Output
Polymorph energy (0 for the lowest one)   146.2 meV/atom
M_tot   0.0 μB/f.u.
Energy   -0.5493 Ry/atom
SG   P-6m2
Raw formation energy   0.05 eV per atom
N(E_F)   3.30 states/eV/cell

Record 14
Crystalline MnRuS2 at its relaxed geometry. Source: Alexandria, functional PBE.

Geometry as CIF:
```
data_MnRuS2
_chemical_formula_sum 'Mn1 Ru1 S2'
_space_group_name_H-M_alt 'P 1'
_space_group_IT_number 1
_space_group_name_Hall 'P 1'
_cell_length_a 3.776
_cell_length_b 3.771
_cell_length_c 5.660
_cell_angle_alpha 90.00
_cell_angle_beta 90.51
_cell_angle_gamma 90.00
loop_
_atom_site_label
_atom_site_type_symbol
_atom_site_fract_x
_atom_site_fract_y
_atom_site_fract_z
S1 S 0.128 0.000 0.858
S2 S 0.622 0.500 0.392
Mn1 Mn 0.125 0.500 0.625
Ru1 Ru 0.625 0.000 0.625
```

Output
Polymorph energy (0 for the lowest one)   0.0 meV/atom
M_tot   1.7 μB/f.u.
Energy   -0.5209 Ry/atom
SG   Pm
Raw formation energy   -0.41 eV per atom
N(E_F)   1.39 states/eV/cell